# Co2Ge

An optimized crystal structure of Co2Ge (PBEsol, the Alexandria database).

a b c (Å): 3.7642 4.9453 7.1246
angles (deg): 90.00 90.00 90.00
Positions (direct):
Ge1 0.2500 0.7011 0.6055
Ge2 0.7500 0.2989 0.3945
Ge3 0.7500 0.7989 0.1055
Ge4 0.2500 0.2011 0.8945
Co1 0.2500 0.5395 0.2783
Co2 0.7500 0.3264 0.0645
Co3 0.2500 0.6736 0.9355
Co4 0.7500 0.8264 0.4355
Co5 0.7500 0.9605 0.7783
Co6 0.7500 0.4605 0.7217
Co7 0.2500 0.0395 0.2217
Co8 0.2500 0.1736 0.5645

Raw total energy, eV per atom: -7.019
DOS at the Fermi energy, states/eV per atom: 1.114